Model A:
The following is a PBE calculation of a relaxed structure of NdYScZn, from Alexandria.

Properties
Fermi-level density of states = 1.2239 states/eV per atom

Cell: 7.481 7.481 7.481 Å, 90.00 90.00 90.00°
Space group F-43m (No. 216)
Inequivalent atoms, fractional coordinates:
Nd 0.000 0.000 0.000 x4
Y 0.000 0.000 0.500 x4
Sc 0.250 0.250 0.750 x4
Zn 0.250 0.250 0.250 x4

=====

Model B:
The following is a PBE calculation of a relaxed structure of NdYScZn, from Alexandria.

Properties
Fermi-level density of states = 1.0635 states/eV per atom

Cell: 3.496 3.496 8.601 Å, 90.00 90.00 90.00°
Space group P4mm (No. 99)
Inequivalent atoms, fractional coordinates:
Nd 0.000 0.000 0.000 x1
Y 0.500 0.500 0.684 x1
Sc 0.500 0.500 0.287 x1
Zn 0.000 0.000 0.461 x1

=====

Stability ranking, top entry: model B; the second entry is 0.146 eV/atom less favorable.

=====

Model A:
The following is a PBE calculation of a relaxed structure of Nd2ScZn, from Alexandria.

Properties
Fermi-level density of states = 1.2540 states/eV per atom

Cell: 5.442 5.442 3.655 Å, 90.00 90.00 90.00°
Space group P4/mmm (No. 123)
Inequivalent atoms, fractional coordinates:
Nd 0.000 0.500 0.000 x2
Sc 0.000 0.000 0.500 x1
Zn 0.500 0.500 0.500 x1

=====

Model B:
The following is a PBE calculation of a relaxed structure of Nd2ScZn, from Alexandria.

Properties
Fermi-level density of states = 1.4777 states/eV per atom

Cell: 3.4064 3.4064 34.1973 Å, 90.00 90.00 120.00°
Space group R-3m (No. 166, hexagonal axes)
Inequivalent atoms, fractional coordinates:
Nd 0.0000 0.0000 0.0959 x6
Sc 0.0000 0.0000 0.0000 x3
Zn 0.0000 0.0000 0.5000 x3

=====

Model C:
The following is a PBE calculation of a relaxed structure of Nd2ScZn, from Alexandria.

Properties
Fermi-level density of states = 1.4482 states/eV per atom

Cell: 3.650 3.650 8.268 Å, 90.00 90.00 90.00°
Space group P4/mmm (No. 123)
Inequivalent atoms, fractional coordinates:
Nd 0.000 0.000 0.224 x2
Sc 0.500 0.500 0.500 x1
Zn 0.500 0.500 0.000 x1

=====

Model D:
The following is a PBE calculation of a relaxed structure of Nd2ScZn, from Alexandria.

Properties
Fermi-level density of states = 1.1880 states/eV per atom

Cell: 7.557 7.557 7.557 Å, 90.00 90.00 90.00°
Space group Fm-3m (No. 225)
Inequivalent atoms, fractional coordinates:
Nd 0.250 0.250 0.250 x8
Sc 0.000 0.000 0.000 x4
Zn 0.000 0.000 0.500 x4

=====

Stability ranking, top entry: model C; the second entry is 0.045 eV/atom less favorable.

=====

Model A:
The following is a PBE calculation of a relaxed structure of Nd2ZrSc, from Alexandria.

Properties
Fermi-level density of states = 1.1876 states/eV per atom

Cell: 4.871 4.871 4.820 Å, 90.00 90.00 90.00°
Space group P4/mmm (No. 123)
Inequivalent atoms, fractional coordinates:
Nd 0.000 0.500 0.000 x2
Zr 0.000 0.000 0.500 x1
Sc 0.500 0.500 0.500 x1

=====

Model B:
The following is a PBE calculation of a relaxed structure of Nd2ZrSc, from Alexandria.

Properties
Fermi-level density of states = 1.7969 states/eV per atom

Cell: 7.689 7.689 7.689 Å, 90.00 90.00 90.00°
Space group Fm-3m (No. 225)
Inequivalent atoms, fractional coordinates:
Nd 0.250 0.250 0.250 x8
Zr 0.000 0.000 0.000 x4
Sc 0.000 0.000 0.500 x4

=====

Stability ranking, top entry: model A; the second entry is 0.063 eV/atom less favorable.

=====

Model A:
The following is a PBE calculation of a relaxed structure of NdZrSc2, from Alexandria.

Properties
Fermi-level density of states = 1.4361 states/eV per atom

Cell: 4.745 4.745 4.618 Å, 90.00 90.00 90.00°
Space group P4/mmm (No. 123)
Inequivalent atoms, fractional coordinates:
Nd 0.000 0.000 0.000 x1
Zr 0.500 0.500 0.000 x1
Sc 0.000 0.500 0.500 x2

=====

Model B:
The following is a PBE calculation of a relaxed structure of NdZrSc2, from Alexandria.

Properties
Fermi-level density of states = 1.7144 states/eV per atom

Cell: 7.461 7.461 7.461 Å, 90.00 90.00 90.00°
Space group Fm-3m (No. 225)
Inequivalent atoms, fractional coordinates:
Nd 0.000 0.000 0.000 x4
Zr 0.000 0.000 0.500 x4
Sc 0.250 0.250 0.250 x8

=====

Stability ranking, top entry: model A; the second entry is 0.050 eV/atom less favorable.

=====

Model A:
The following is a PBE calculation of a relaxed structure of Nd2SiSe, from Alexandria.

Properties
Fermi-level density of states = 0.5848 states/eV per atom

Cell: 4.2006 4.2006 22.0619 Å, 90.00 90.00 120.00°
Space group R3m (No. 160, hexagonal axes)
Inequivalent atoms, fractional coordinates:
Nd 0.0000 0.0000 0.0000 x3
Nd 0.0000 0.0000 0.1795 x3
Si 0.0000 0.0000 0.5894 x3
Se 0.0000 0.0000 0.7585 x3

=====

Model B:
The following is a PBE calculation of a relaxed structure of Nd2SiSe, from Alexandria.

Properties
Fermi-level density of states = 0.3622 states/eV per atom

Cell: 4.2501 4.2501 21.1340 Å, 90.00 90.00 120.00°
Space group R-3m (No. 166, hexagonal axes)
Inequivalent atoms, fractional coordinates:
Nd 0.0000 0.0000 0.2466 x6
Si 0.0000 0.0000 0.5000 x3
Se 0.0000 0.0000 0.0000 x3

=====

Model C:
The following is a PBE calculation of a relaxed structure of Nd2SiSe, from Alexandria.

Properties
Fermi-level density of states = 0.2697 states/eV per atom

Cell: 8.548 16.959 7.376 Å, 90.00 124.90 90.00°
Space group C2/c (No. 15)
Inequivalent atoms, fractional coordinates:
Nd 0.240 0.063 0.243 x8
Nd 0.247 0.188 0.744 x8
Si 0.000 0.065 0.750 x4
Si 0.000 0.190 0.250 x4
Se 0.000 0.314 0.750 x4
Se 0.000 0.439 0.250 x4

=====

Stability ranking, top entry: model C; the second entry is 0.012 eV/atom less favorable.

=====

Model A:
The following is a PBE calculation of a relaxed structure of NdSiSe3, from Alexandria.

Properties
Fermi-level density of states = 0.0313 states/eV per atom

Cell: 8.138 6.647 9.220 Å, 90.00 90.00 90.00°
Space group Pna2_1 (No. 33)
Inequivalent atoms, fractional coordinates:
Nd 0.114 0.037 0.000 x4
Si 0.074 0.528 0.230 x4
Se 0.029 0.396 0.486 x4
Se 0.173 0.842 0.303 x4
Se 0.184 0.841 0.695 x4

=====

Model B:
The following is a PBE calculation of a relaxed structure of NdSiSe3, from Alexandria.

Properties
Fermi-level density of states = 0.0000 states/eV per atom

Cell: 6.923 7.817 11.591 Å, 90.00 124.23 90.00°
Space group P2_1/c (No. 14)
Inequivalent atoms, fractional coordinates:
Nd 0.212 0.126 0.252 x4
Si 0.142 0.600 0.066 x4
Se 0.078 0.180 0.933 x4
Se 0.286 0.688 0.940 x4
Se 0.415 0.021 0.775 x4

=====

Stability ranking, top entry: model B; the second entry is 0.168 eV/atom less favorable.